Below is crystalline TmCoO3 at its relaxed geometry, with properties calculated at the PBE+U level.

It has space group R-3 (No. 148, hexagonal axes), with a = 5.3503 Å, b = 5.3503 Å, c = 14.0796 Å, α = 90.00°, β = 90.00° and γ = 120.00°. Symmetry generates all atoms from Tm at (0.0000, 0.0000, 0.1369), Co at (0.0000, 0.0000, 0.3483) and O at (0.0202, 0.6368, 0.9211).

The magnetization is 23.9 μB/cell. The raw total energy comes out at -7.04 eV/atom.